The following is a DFT calculation (PBE-GGA) of crystalline BaAcAlAg at its relaxed geometry.

The structure in extended XYZ format:
```
4
Lattice="-0.287 5.678 0.650 -0.128 2.276 5.248 4.528 2.886 1.978" Properties=species:S:1:pos:R:3 pbc="T T T"
Ac 0.000 0.000 0.000
Ba 2.056 5.420 3.938
Ag 1.028 2.710 1.969
Al 3.084 8.130 5.908
```

Properties
Formation enthalpy at 0 K   -0.15 eV/atom
Crystal system   cubic
Mass density   6.3 Mg/m³